Compound: Co2As3
Source: the Alexandria database
Functional: PBE-GGA
Structure: relaxed

The structure in extended XYZ format:
```
5
Lattice="1.987 -3.441 0.000 1.987 3.441 0.000 0.000 0.000 5.553" Properties=species:S:1:pos:R:3 pbc="T T T"
Co 1.987 -1.147 0.932
As 1.987 -1.147 3.598
As 0.000 0.000 0.000
Co 1.987 1.147 4.621
As 1.987 1.147 1.955
```

Output
* mass density: 7.49 Mg/m³
* calculated formation energy: 0.0459 eV/atom
* density of states at the Fermi level: 0.719 states/eV/atom

***

Compound: PaMnH
Source: the Alexandria database
Functional: PBE-GGA
Structure: relaxed

The structure in extended XYZ format:
```
3
Lattice="3.543 0.000 0.000 0.000 3.543 0.000 -1.772 -1.772 3.454" Properties=species:S:1:pos:R:3 pbc="T T T"
Mn 1.772 1.772 0.270
H 0.000 0.000 2.163
Pa 1.772 1.772 3.438
```

Output
* mass density: 10.99 Mg/m³
* energy above the lowest structure with this stoichiometry: 0.033 eV/atom
* density of states at the Fermi level: 1.335 states/eV/atom

***

Compound: Ho4Bi3Te
Source: the Alexandria database
Functional: PBE-GGA
Structure: relaxed

The structure in extended XYZ format:
```
8
Lattice="-1.547 0.474 4.130 5.799 -4.255 2.660 2.073 7.382 -0.071" Properties=species:S:1:pos:R:3 pbc="T T T"
Ho 1.987 0.789 0.653
Bi 1.036 3.691 -0.035
Ho 2.235 4.699 2.679
Bi 3.162 1.801 3.359
Te -0.773 0.237 2.065
Ho 5.885 2.338 1.936
Bi 2.899 -2.128 1.330
Ho 4.090 -1.098 4.039
```

Output
* raw formation energy: -965 meV per atom
* mass density: 9.55 Mg/m³
* energy above the lowest structure with this stoichiometry: 0.000 eV/atom
* density of states at the Fermi level: 0.190 states/eV/atom